{
  "formula": "FeCuGe2O6",
  "functional": "GGA+U",
  "state": "relaxed",
  "cell": [[5.2950, -0.1719, -0.1784], [1.4976, 6.6243, 0.2259], [1.4976, -0.0197, 6.6281]],
  "species": ["Fe", "Fe", "Cu", "Cu", "Ge", "Ge", "Ge", "Ge", "O", "O", "O", "O", "O", "O", "O", "O", "O", "O", "O", "O"],
  "frac_coords": [[0.2500, 0.9039, 0.0961], [0.7500, 0.0961, 0.9039], [0.2500, 0.2665, 0.7335], [0.7500, 0.7335, 0.2665], [0.2381, 0.7898, 0.6084], [0.2619, 0.3916, 0.2102], [0.7619, 0.2102, 0.3916], [0.7381, 0.6084, 0.7898], [0.1425, 0.9680, 0.7965], [0.3575, 0.2035, 0.0320], [0.8575, 0.0320, 0.2035], [0.6425, 0.7965, 0.9680], [0.3925, 0.8609, 0.3689], [0.1075, 0.6311, 0.1391], [0.6075, 0.1391, 0.6311], [0.8925, 0.3689, 0.8609], [0.9463, 0.7038, 0.5765], [0.5537, 0.4235, 0.2962], [0.0537, 0.2962, 0.4235], [0.4463, 0.5765, 0.7038]],
  "final_energy_ev_per_atom": -6.2225
}